(1)
{"formula": "RbCdH2I3O", "functional": "GGA-PBEsol", "state": "relaxed", "mass_density_g_cm3": 4.2, "space_group": "Cc (9)", "magnetic_moment_mub_per_cell": 0.0, "total_energy_ev_per_atom": -3.385, "lattice": [[-3.311, -0.559, -6.679], [5.671, -3.781, -3.069], [-3.613, -7.323, 2.453]], "species": ["Rb", "Rb", "Cd", "Cd", "H", "H", "H", "H", "I", "I", "I", "I", "I", "I", "O", "O"], "frac_coords": [[0.738, 0.476, 0.175], [0.476, 0.738, 0.675], [0.969, 0.027, 0.521], [0.027, 0.969, 0.021], [0.519, 0.841, 0.292], [0.841, 0.519, 0.792], [0.370, 0.707, 0.277], [0.707, 0.370, 0.777], [0.627, 0.185, 0.525], [0.185, 0.627, 0.025], [0.169, 0.161, 0.772], [0.161, 0.169, 0.272], [0.995, 0.658, 0.527], [0.658, 0.995, 0.027], [0.480, 0.729, 0.337], [0.729, 0.480, 0.837]]}

***

(2)
{"formula": "LaMo2Se", "functional": "GGA-PBEsol", "state": "relaxed", "mass_density_g_cm3": 8.4, "space_group": "C2/m (12)", "magnetic_moment_mub_per_cell": 0.0, "total_energy_ev_per_atom": -8.108, "formation_energy_uncorrected_kcal_per_mol_atoms": 1.725, "lattice": [[-2.596, -2.117, 0.734], [-0.936, -0.536, -4.857], [4.448, -2.512, 0.473]], "species": ["La", "Mo", "Mo", "Se"], "frac_coords": [[0.000, 0.500, 0.000], [0.230, 0.162, 0.459], [0.770, 0.838, 0.541], [0.500, 0.000, 0.000]]}

***

(3)
{"formula": "Zn2InNi", "functional": "GGA-PBEsol", "state": "relaxed", "mass_density_g_cm3": 8.3, "space_group": "C2/m (12)", "magnetic_moment_mub_per_cell": 0.0, "total_energy_ev_per_atom": -3.014, "lattice": [[2.903, 0.020, 0.000], [-0.144, 4.519, 0.000], [-1.379, -2.270, 4.617]], "species": ["In", "Ni", "Zn", "Zn"], "frac_coords": [[0.500, 0.500, 0.000], [0.000, 0.000, 0.000], [0.000, 0.000, 0.500], [0.500, 0.500, 0.500]]}

***

(4)
{"formula": "SrCa2Rh2", "functional": "GGA-PBEsol", "state": "relaxed", "mass_density_g_cm3": 5.4, "space_group": "P4/mbm (127)", "magnetic_moment_mub_per_cell": 0.0, "total_energy_ev_per_atom": -4.635, "lattice": [[3.378, 0.000, 0.000], [0.000, 8.214, 0.000], [0.000, 0.000, 8.214]], "species": ["Sr", "Sr", "Ca", "Ca", "Ca", "Ca", "Rh", "Rh", "Rh", "Rh"], "frac_coords": [[0.000, 0.000, 0.000], [0.000, 0.500, 0.500], [0.500, 0.137, 0.637], [0.500, 0.637, 0.863], [0.500, 0.863, 0.363], [0.500, 0.363, 0.137], [0.000, 0.340, 0.840], [0.000, 0.840, 0.660], [0.000, 0.660, 0.160], [0.000, 0.160, 0.340]]}

***

(5)
{"formula": "TlReN2", "functional": "GGA-PBEsol", "state": "relaxed", "mass_density_g_cm3": 9.6, "space_group": "I-42d (122)", "relative_energy_mev_per_atom": 0.0, "magnetic_moment_mub_per_cell": 0.0, "total_energy_ev_per_atom": -8.110, "formation_energy_uncorrected_kcal_per_mol_atoms": 3.329, "lattice": [[-1.997, -5.020, -1.454], [3.633, 2.826, -3.984], [2.405, -2.265, 4.516]], "species": ["Re", "Re", "Tl", "Tl", "N", "N", "N", "N"], "frac_coords": [[0.750, 0.500, 0.250], [0.500, 0.000, 0.500], [0.250, 0.500, 0.750], [0.000, 0.000, 0.000], [0.557, 0.250, 0.375], [0.693, 0.250, 0.875], [0.125, 0.750, 0.443], [0.625, 0.750, 0.307]]}

***

(6)
{"formula": "CuRuSe2Br", "functional": "GGA-PBEsol", "state": "relaxed", "mass_density_g_cm3": 6.3, "space_group": "P4/mmm (123)", "magnetic_moment_mub_per_cell": 3.6, "total_energy_ev_per_atom": -3.777, "formation_energy_uncorrected_kcal_per_mol_atoms": 23.935, "lattice": [[-2.154, 1.181, 3.995], [-1.904, -4.279, 0.239], [3.789, -1.546, 2.500]], "species": ["Ru", "Cu", "Se", "Se", "Br"], "frac_coords": [[0.500, 0.500, 0.500], [0.000, 0.000, 0.000], [0.000, 0.500, 0.000], [0.500, 0.000, 0.000], [0.000, 0.000, 0.500]]}

***

(7)
{"formula": "MgAsF2", "functional": "GGA-PBEsol", "state": "relaxed", "mass_density_g_cm3": 3.3, "space_group": "I-42d (122)", "relative_energy_mev_per_atom": 454.3, "magnetic_moment_mub_per_cell": 0.0, "total_energy_ev_per_atom": -4.509, "formation_energy_uncorrected_kcal_per_mol_atoms": -42.418, "lattice": [[5.796, 0.000, 0.000], [-2.898, 5.017, 0.015], [0.000, 3.333, 4.741]], "species": ["As", "As", "Mg", "Mg", "F", "F", "F", "F"], "frac_coords": [[0.750, 0.500, 0.750], [0.000, 0.000, 0.000], [0.250, 0.500, 0.250], [0.500, 0.000, 0.500], [0.456, 0.750, 0.375], [0.294, 0.750, 0.875], [0.875, 0.250, 0.456], [0.375, 0.250, 0.294]]}

***

(8)
{"formula": "HgSeBr2", "functional": "GGA-PBEsol", "state": "relaxed", "mass_density_g_cm3": 7.3, "space_group": "R-3m (166)", "relative_energy_mev_per_atom": 150.7, "magnetic_moment_mub_per_cell": 0.0, "total_energy_ev_per_atom": -1.793, "formation_energy_uncorrected_kcal_per_mol_atoms": 5.669, "lattice": [[3.730, 0.000, 0.000], [1.865, 3.230, 0.000], [1.865, 1.077, 8.319]], "species": ["Br", "Br", "Hg", "Se"], "frac_coords": [[0.241, 0.241, 0.277], [0.759, 0.759, 0.723], [0.500, 0.500, 0.500], [0.000, 0.000, 0.000]]}

***

(9)
{"formula": "ZrIn2Sb", "functional": "GGA-PBEsol", "state": "relaxed", "mass_density_g_cm3": 8.1, "space_group": "I4/mmm (139)", "magnetic_moment_mub_per_cell": 0.0, "total_energy_ev_per_atom": -5.138, "formation_energy_uncorrected_kcal_per_mol_atoms": -5.423, "lattice": [[4.189, 0.000, 0.000], [0.000, 4.189, 0.000], [-2.094, -2.094, 5.165]], "species": ["In", "In", "Sb", "Zr"], "frac_coords": [[0.750, 0.750, 0.500], [0.250, 0.250, 0.500], [0.500, 0.000, 0.000], [0.000, 0.500, 0.000]]}

***

(10)
{"formula": "Ca2TcW", "functional": "GGA-PBEsol", "state": "relaxed", "mass_density_g_cm3": 6.5, "space_group": "P4mm (99)", "relative_energy_mev_per_atom": 0.0, "magnetic_moment_mub_per_cell": 0.0, "total_energy_ev_per_atom": -6.987, "lattice": [[3.225, 0.000, 0.000], [0.000, 3.225, 0.000], [0.000, 0.000, 8.942]], "species": ["Ca", "Ca", "Tc", "W"], "frac_coords": [[0.500, 0.500, 0.063], [0.000, 0.000, 0.680], [0.500, 0.500, 0.444], [0.000, 0.000, 0.312]]}

***

(11)
{"formula": "Al2SbPb", "functional": "GGA-PBEsol", "state": "relaxed", "mass_density_g_cm3": 6.8, "space_group": "F-43m (216)", "relative_energy_mev_per_atom": 48.8, "magnetic_moment_mub_per_cell": 0.0, "total_energy_ev_per_atom": -3.893, "formation_energy_uncorrected_kcal_per_mol_atoms": 6.740, "lattice": [[5.101, 0.000, 0.000], [2.551, 4.418, 0.000], [2.551, 1.473, 4.165]], "species": ["Pb", "Sb", "Al", "Al"], "frac_coords": [[0.500, 0.500, 0.500], [0.750, 0.750, 0.750], [0.000, 0.000, 0.000], [0.250, 0.250, 0.250]]}

***

(12)
{"formula": "TaP3H", "functional": "GGA-PBEsol", "state": "relaxed", "mass_density_g_cm3": 7.6, "space_group": "Pm-3m (221)", "magnetic_moment_mub_per_cell": 0.0, "total_energy_ev_per_atom": -6.137, "lattice": [[3.908, 0.000, 0.000], [0.000, 3.908, 0.000], [0.000, 0.000, 3.908]], "species": ["P", "P", "P", "H", "Ta"], "frac_coords": [[0.000, 0.500, 0.000], [0.000, 0.000, 0.500], [0.500, 0.000, 0.000], [0.000, 0.000, 0.000], [0.500, 0.500, 0.500]]}

***

(13)
{"formula": "Ta2Ag2Ir", "functional": "GGA-PBEsol", "state": "relaxed", "mass_density_g_cm3": 14.1, "space_group": "I4/mmm (139)", "magnetic_moment_mub_per_cell": 0.0, "total_energy_ev_per_atom": -7.705, "lattice": [[-0.645, -1.089, -3.295], [-1.825, -2.744, 1.264], [-4.856, 5.909, 0.888]], "species": ["Ir", "Ag", "Ag", "Ta", "Ta"], "frac_coords": [[0.000, 0.000, 0.000], [0.250, 0.750, 0.500], [0.750, 0.250, 0.500], [0.414, 0.414, 0.829], [0.586, 0.586, 0.171]]}

***

(14)
{"formula": "KTi3Tc", "functional": "GGA-PBEsol", "state": "relaxed", "mass_density_g_cm3": 4.1, "space_group": "Pm-3m (221)", "magnetic_moment_mub_per_cell": 1.7, "total_energy_ev_per_atom": -6.731, "lattice": [[4.832, 0.000, 0.000], [0.000, 4.832, 0.000], [0.000, 0.000, 4.832]], "species": ["K", "Tc", "Ti", "Ti", "Ti"], "frac_coords": [[0.500, 0.500, 0.500], [0.000, 0.000, 0.000], [0.000, 0.500, 0.000], [0.000, 0.000, 0.500], [0.500, 0.000, 0.000]]}

***

(15)
{"formula": "Y2ScHg2", "functional": "GGA-PBEsol", "state": "relaxed", "mass_density_g_cm3": 8.3, "space_group": "P4/mbm (127)", "magnetic_moment_mub_per_cell": 0.0, "total_energy_ev_per_atom": -4.743, "lattice": [[3.808, 0.000, 0.000], [0.000, 8.107, 0.000], [0.000, 0.000, 8.107]], "species": ["Y", "Y", "Y", "Y", "Sc", "Sc", "Hg", "Hg", "Hg", "Hg"], "frac_coords": [[0.500, 0.168, 0.668], [0.500, 0.668, 0.832], [0.500, 0.832, 0.332], [0.500, 0.332, 0.168], [0.000, 0.000, 0.000], [0.000, 0.500, 0.500], [0.000, 0.367, 0.867], [0.000, 0.867, 0.633], [0.000, 0.633, 0.133], [0.000, 0.133, 0.367]]}

***

(16)
{"formula": "SrAs2Pt2", "functional": "GGA-PBEsol", "state": "relaxed", "mass_density_g_cm3": 10.7, "space_group": "P2_1/c (14)", "magnetic_moment_mub_per_cell": 0.0, "total_energy_ev_per_atom": -5.989, "lattice": [[-0.567, 3.537, 2.663], [-7.345, -3.646, 3.279], [5.478, -4.396, 7.007]], "species": ["As", "As", "As", "As", "As", "As", "As", "As", "Pt", "Pt", "Pt", "Pt", "Pt", "Pt", "Pt", "Pt", "Sr", "Sr", "Sr", "Sr"], "frac_coords": [[0.244, 0.877, 0.001], [0.744, 0.623, 0.999], [0.756, 0.123, 0.999], [0.256, 0.377, 0.001], [0.196, 0.611, 0.627], [0.696, 0.889, 0.373], [0.804, 0.389, 0.373], [0.304, 0.111, 0.627], [0.246, 0.626, 0.878], [0.746, 0.874, 0.122], [0.754, 0.374, 0.122], [0.254, 0.126, 0.878], [0.170, 0.858, 0.501], [0.670, 0.642, 0.499], [0.830, 0.142, 0.499], [0.330, 0.358, 0.501], [0.740, 0.873, 0.754], [0.240, 0.627, 0.246], [0.260, 0.127, 0.246], [0.760, 0.373, 0.754]]}

***

(17)
{"formula": "Cr4TcAu", "functional": "GGA-PBEsol", "state": "relaxed", "mass_density_g_cm3": 11.2, "space_group": "F-43m (216)", "magnetic_moment_mub_per_cell": 0.0, "total_energy_ev_per_atom": -9.248, "lattice": [[-1.883, -3.431, -2.649], [-0.723, -4.287, 1.851], [-4.402, -1.495, 0.850]], "species": ["Au", "Cr", "Cr", "Cr", "Cr", "Tc"], "frac_coords": [[0.000, 0.000, 0.000], [0.374, 0.374, 0.374], [0.374, 0.374, 0.879], [0.879, 0.374, 0.374], [0.374, 0.879, 0.374], [0.750, 0.750, 0.750]]}

***

(18)
{"formula": "Tl2AgF", "functional": "GGA-PBEsol", "state": "relaxed", "mass_density_g_cm3": 11.0, "space_group": "Fm-3m (225)", "magnetic_moment_mub_per_cell": 0.0, "total_energy_ev_per_atom": -3.191, "formation_energy_uncorrected_kcal_per_mol_atoms": -13.050, "lattice": [[4.861, 0.000, 0.000], [2.430, 4.209, 0.000], [2.430, 1.403, 3.969]], "species": ["Tl", "Tl", "Ag", "F"], "frac_coords": [[0.250, 0.250, 0.250], [0.750, 0.750, 0.750], [0.500, 0.500, 0.500], [0.000, 0.000, 0.000]]}

***

(19)
{"formula": "AlPS2Cl", "functional": "GGA-PBEsol", "state": "relaxed", "mass_density_g_cm3": 2.7, "space_group": "P4/mmm (123)", "magnetic_moment_mub_per_cell": 0.0, "total_energy_ev_per_atom": -3.789, "formation_energy_uncorrected_kcal_per_mol_atoms": 7.904, "lattice": [[-3.043, 1.759, 2.672], [1.295, -2.695, 3.248], [3.311, 3.421, 1.518]], "species": ["P", "S", "S", "Al", "Cl"], "frac_coords": [[0.000, 0.000, 0.500], [0.000, 0.500, 0.000], [0.500, 0.000, 0.000], [0.000, 0.000, 0.000], [0.500, 0.500, 0.500]]}

***

(20)
{"formula": "LaZnRh", "functional": "GGA-PBEsol", "state": "relaxed", "mass_density_g_cm3": 8.6, "space_group": "Pnma (62)", "magnetic_moment_mub_per_cell": 0.0, "total_energy_ev_per_atom": -5.650, "lattice": [[-2.094, 2.115, -2.765], [-0.202, -5.668, -4.181], [-7.075, -2.365, 3.549]], "species": ["Zn", "Zn", "Zn", "Zn", "Rh", "Rh", "Rh", "Rh", "La", "La", "La", "La"], "frac_coords": [[0.250, 0.630, 0.059], [0.750, 0.370, 0.941], [0.750, 0.870, 0.559], [0.250, 0.130, 0.441], [0.750, 0.245, 0.625], [0.750, 0.745, 0.875], [0.250, 0.755, 0.375], [0.250, 0.255, 0.125], [0.750, 0.460, 0.314], [0.250, 0.040, 0.814], [0.250, 0.540, 0.686], [0.750, 0.960, 0.186]]}